*P*
Material: InMo2P
Method: DFT, PBE
State: relaxed

Cell lengths 9.2442, 3.1700, 4.8557 Å; angles 90.00, 108.11, 90.00 degrees
Last column: nearest neighbours and their distance in Å.
Sites, in units of the cell vectors:
In 0.0000 0.0000 0.0000  7 Mo 2.73-2.96, 2 P 2.97
In 0.5000 0.5000 0.0000  7 Mo 2.73-2.96, 2 P 2.97
Mo 0.2393 0.0000 0.7815  2 P 2.42
Mo 0.4691 0.0000 0.4706  3 P 2.54-2.67
Mo 0.7393 0.5000 0.7815  2 P 2.42
Mo 0.9691 0.5000 0.4706  3 P 2.54-2.67
P 0.2460 0.5000 0.4102  5 Mo 2.42-2.67
P 0.7460 0.0000 0.4102  5 Mo 2.42-2.67

Results
DOS at the Fermi energy (states/eV/f.u.): 2.65
Total moment (μB per formula unit): 0.00



*Q*
Material: InMo2P
Method: DFT, PBE
State: relaxed

Cell lengths 5.6878, 8.5155, 2.9476 Å; angles 90.00, 111.37, 90.00 degrees
Last column: nearest neighbours and their distance in Å.
Sites, in units of the cell vectors:
In 0.0000 0.0000 0.0000  4 Mo 2.68, 2 P 2.84, 2 In 2.95
In 0.5000 0.5000 0.0000  4 Mo 2.68, 2 P 2.84, 2 In 2.95
Mo 0.2500 0.2500 0.5000  2 In 2.68, 2 P 2.68, 4 Mo 2.84-2.95
Mo 0.2500 0.7500 0.5000  2 In 2.68, 2 P 2.68, 4 Mo 2.84-2.95
Mo 0.7500 0.2500 0.5000  2 P 2.68, 2 In 2.68, 4 Mo 2.84-2.95
Mo 0.7500 0.7500 0.5000  2 In 2.68, 2 P 2.68, 4 Mo 2.84-2.95
P 0.0000 0.5000 0.0000  4 Mo 2.68, 2 In 2.84, 2 P 2.95
P 0.5000 0.0000 0.0000  4 Mo 2.68, 2 In 2.84, 2 P 2.95

Results
DOS at the Fermi energy (states/eV/f.u.): 3.82
Total moment (μB per formula unit): 0.00



*R*
Material: InMo2P
Method: DFT, PBE
State: relaxed

Cell lengths 3.0652, 3.3472, 13.9024 Å; angles 90.00, 90.00, 90.00 degrees
Last column: nearest neighbours and their distance in Å.
Sites, in units of the cell vectors:
In 0.0000 0.0000 0.0000  6 Mo 2.93-2.98, 2 In 3.07
In 0.5000 0.5000 0.5000  6 Mo 2.93-2.98, 2 In 3.07
Mo 0.0000 0.0000 0.3614  2 P 2.37
Mo 0.0000 0.5000 0.6796  4 P 2.42
Mo 0.5000 0.0000 0.1796  4 P 2.42
Mo 0.5000 0.5000 0.8614  2 P 2.37
P 0.0000 0.5000 0.2404  6 Mo 2.37-2.42
P 0.5000 0.0000 0.7404  6 Mo 2.37-2.42

Results
DOS at the Fermi energy (states/eV/f.u.): 3.18
Total moment (μB per formula unit): 0.00



*R* has the most favorable energy; the next structure is 211 meV/atom above.



*P*
Material: InMo2P
Method: DFT, PBE
State: relaxed

Cell lengths 6.4589, 6.4589, 6.4589 Å; angles 90.00, 90.00, 90.00 degrees
Last column: nearest neighbours and their distance in Å.
Sites, in units of the cell vectors:
In 0.0000 0.0000 0.0000  4 P 2.80, 4 Mo 2.80
In 0.0000 0.5000 0.5000  4 P 2.80, 4 Mo 2.80
In 0.5000 0.0000 0.5000  4 P 2.80, 4 Mo 2.80
In 0.5000 0.5000 0.0000  4 P 2.80, 4 Mo 2.80
Mo 0.0000 0.0000 0.5000  4 Mo 2.80, 4 P 2.80
Mo 0.0000 0.5000 0.0000  4 Mo 2.80, 4 P 2.80
Mo 0.2500 0.2500 0.7500  4 In 2.80, 4 Mo 2.80
Mo 0.2500 0.7500 0.2500  4 In 2.80, 4 Mo 2.80
Mo 0.5000 0.0000 0.0000  4 Mo 2.80, 4 P 2.80
Mo 0.5000 0.5000 0.5000  4 Mo 2.80, 4 P 2.80
Mo 0.7500 0.2500 0.2500  4 In 2.80, 4 Mo 2.80
Mo 0.7500 0.7500 0.7500  4 In 2.80, 4 Mo 2.80
P 0.2500 0.2500 0.2500  4 Mo 2.80, 4 In 2.80
P 0.2500 0.7500 0.7500  4 In 2.80, 4 Mo 2.80
P 0.7500 0.2500 0.7500  4 In 2.80, 4 Mo 2.80
P 0.7500 0.7500 0.2500  4 In 2.80, 4 Mo 2.80

Results
DOS at the Fermi energy (states/eV/f.u.): 3.64
Total moment (μB per formula unit): 0.00



*Q*
Material: InMo2P
Method: DFT, PBE
State: relaxed

Cell lengths 3.9783, 3.9783, 18.5757 Å; angles 90.00, 90.00, 90.00 degrees
Last column: nearest neighbours and their distance in Å.
Sites, in units of the cell vectors:
In 0.0000 0.0000 0.0000  4 P 2.81, 4 Mo 2.81
In 0.0000 0.5000 0.2500  4 P 2.81, 4 Mo 2.81
In 0.5000 0.0000 0.7500  4 P 2.81, 4 Mo 2.81
In 0.5000 0.5000 0.5000  4 P 2.81, 4 Mo 2.81
Mo 0.1887 0.2500 0.6250  2 Mo 2.49, 2 P 2.64
Mo 0.2500 0.6887 0.8750  2 Mo 2.49, 2 P 2.64
Mo 0.2500 0.8113 0.3750  2 Mo 2.49, 2 P 2.64
Mo 0.3113 0.2500 0.1250  2 Mo 2.49, 2 P 2.64
Mo 0.6887 0.7500 0.1250  2 Mo 2.49, 2 P 2.64
Mo 0.7500 0.1887 0.3750  2 Mo 2.49, 2 P 2.64
Mo 0.7500 0.3113 0.8750  2 Mo 2.49, 2 P 2.64
Mo 0.8113 0.7500 0.6250  2 Mo 2.49, 2 P 2.64
P 0.0000 0.0000 0.5000  4 Mo 2.64, 4 In 2.81
P 0.0000 0.5000 0.7500  4 Mo 2.64, 4 In 2.81
P 0.5000 0.0000 0.2500  4 Mo 2.64, 4 In 2.81
P 0.5000 0.5000 0.0000  4 Mo 2.64, 4 In 2.81

Results
DOS at the Fermi energy (states/eV/f.u.): 3.93
Total moment (μB per formula unit): 0.00



*P* has the most favorable energy; the next structure is 27 meV/atom above.



*P*
Material: InMo2P
Method: DFT, PBE
State: relaxed

Cell lengths 3.1430, 3.5000, 6.1796 Å; angles 90.00, 99.83, 90.00 degrees
Last column: nearest neighbours and their distance in Å.
Sites, in units of the cell vectors:
In 0.0000 0.0000 0.0000  8 Mo 2.92-3.03, 2 P 3.09, 2 In 3.14
Mo 0.3679 0.5000 0.7017  2 P 2.34
Mo 0.6321 0.5000 0.2983  2 P 2.34
P 0.0000 0.0000 0.5000  4 Mo 2.34

Results
DOS at the Fermi energy (states/eV/f.u.): 2.34
Total moment (μB per formula unit): 0.00



*Q*
Material: InMo2P
Method: DFT, PBE
State: relaxed

Cell lengths 3.3468, 5.0442, 7.9904 Å; angles 90.00, 90.00, 90.00 degrees
Last column: nearest neighbours and their distance in Å.
Sites, in units of the cell vectors:
In 0.0000 0.0000 0.0000  4 Mo 2.90, 4 In 3.03
In 0.5000 0.5000 0.0000  4 Mo 2.90, 4 In 3.03
Mo 0.0000 0.5000 0.2958  2 P 2.34
Mo 0.0000 0.5000 0.7042  2 P 2.34
Mo 0.5000 0.0000 0.2958  2 P 2.34
Mo 0.5000 0.0000 0.7042  2 P 2.34
P 0.0000 0.0000 0.5000  4 Mo 2.34
P 0.5000 0.5000 0.5000  4 Mo 2.34

Results
DOS at the Fermi energy (states/eV/f.u.): 2.44
Total moment (μB per formula unit): 0.00



*R*
Material: InMo2P
Method: DFT, PBE
State: relaxed

Cell lengths 6.3492, 6.3492, 6.3492 Å; angles 90.00, 90.00, 90.00 degrees
Last column: nearest neighbours and their distance in Å.
Sites, in units of the cell vectors:
In 0.0000 0.0000 0.0000  8 Mo 2.75
In 0.0000 0.5000 0.5000  8 Mo 2.75
In 0.5000 0.0000 0.5000  8 Mo 2.75
In 0.5000 0.5000 0.0000  8 Mo 2.75
Mo 0.2500 0.2500 0.2500  4 In 2.75, 4 P 2.75
Mo 0.2500 0.2500 0.7500  4 In 2.75, 4 P 2.75
Mo 0.2500 0.7500 0.2500  4 In 2.75, 4 P 2.75
Mo 0.2500 0.7500 0.7500  4 In 2.75, 4 P 2.75
Mo 0.7500 0.2500 0.2500  4 In 2.75, 4 P 2.75
Mo 0.7500 0.2500 0.7500  4 In 2.75, 4 P 2.75
Mo 0.7500 0.7500 0.2500  4 In 2.75, 4 P 2.75
Mo 0.7500 0.7500 0.7500  4 In 2.75, 4 P 2.75
P 0.0000 0.0000 0.5000  8 Mo 2.75
P 0.0000 0.5000 0.0000  8 Mo 2.75
P 0.5000 0.0000 0.0000  8 Mo 2.75
P 0.5000 0.5000 0.5000  8 Mo 2.75

Results
DOS at the Fermi energy (states/eV/f.u.): 7.13
Total moment (μB per formula unit): 0.00



*P* has the most favorable energy; the next structure is 56 meV/atom above.



*P*
Material: InMo2P
Method: DFT, PBE
State: relaxed

Cell lengths 3.0417, 3.0417, 24.8208 Å; angles 90.00, 90.00, 120.00 degrees
Last column: nearest neighbours and their distance in Å.
Sites, in units of the cell vectors:
In 0.0000 0.0000 0.0000  6 Mo 2.95, 6 In 3.04
In 0.3333 0.6667 0.6667  6 Mo 2.95, 6 In 3.04
In 0.6667 0.3333 0.3333  6 Mo 2.95, 6 In 3.04
Mo 0.0000 0.0000 0.2376  3 P 2.49
Mo 0.0000 0.0000 0.7624  3 P 2.49
Mo 0.3333 0.6667 0.4291  3 P 2.49
Mo 0.3333 0.6667 0.9043  3 P 2.49
Mo 0.6667 0.3333 0.0957  3 P 2.49
Mo 0.6667 0.3333 0.5709  3 P 2.49
P 0.0000 0.0000 0.5000  6 Mo 2.49
P 0.3333 0.6667 0.1667  6 Mo 2.49
P 0.6667 0.3333 0.8333  6 Mo 2.49

Results
DOS at the Fermi energy (states/eV/f.u.): 2.19
Total moment (μB per formula unit): 0.00



*Q*
Material: InMo2P
Method: DFT, PBE
State: relaxed

Cell lengths 3.0451, 3.0451, 7.0379 Å; angles 90.00, 90.00, 90.00 degrees
Last column: nearest neighbours and their distance in Å.
Sites, in units of the cell vectors:
In 0.0000 0.0000 0.0000  4 In 3.05, 8 Mo 3.07
Mo 0.5000 0.5000 0.3109  4 P 2.53, 1 Mo 2.66
Mo 0.5000 0.5000 0.6891  4 P 2.53, 1 Mo 2.66
P 0.0000 0.0000 0.5000  8 Mo 2.53

Results
DOS at the Fermi energy (states/eV/f.u.): 3.23
Total moment (μB per formula unit): 0.00



*R*
Material: InMo2P
Method: DFT, PBE
State: relaxed

Cell lengths 3.3344, 4.9573, 8.1634 Å; angles 90.00, 90.00, 90.00 degrees
Last column: nearest neighbours and their distance in Å.
Sites, in units of the cell vectors:
In 0.0000 0.0000 0.0000  8 Mo 2.97, 4 P 2.99
In 0.5000 0.5000 0.5000  8 Mo 2.97, 4 P 2.99
Mo 0.0000 0.5000 0.1995  2 P 2.33
Mo 0.0000 0.5000 0.8005  2 P 2.33
Mo 0.5000 0.0000 0.3005  2 P 2.33
Mo 0.5000 0.0000 0.6995  2 P 2.33
P 0.0000 0.0000 0.5000  4 Mo 2.33
P 0.5000 0.5000 0.0000  4 Mo 2.33

Results
DOS at the Fermi energy (states/eV/f.u.): 2.62
Total moment (μB per formula unit): 0.00



*Q* has the most favorable energy; the next structure is 135 meV/atom above.



*P*
Material: In3MoP
Method: DFT, PBE
State: relaxed

Cell lengths 5.1532, 5.1532, 5.1532 Å; angles 90.00, 90.00, 90.00 degrees
Last column: nearest neighbours and their distance in Å.
Sites, in units of the cell vectors:
In 0.0000 0.0000 0.5000  2 P 2.58
In 0.0000 0.5000 0.0000  2 P 2.58
In 0.5000 0.0000 0.0000  2 P 2.58
Mo 0.5000 0.5000 0.5000  12 In 3.64
P 0.0000 0.0000 0.0000  6 In 2.58

Results
DOS at the Fermi energy (states/eV/f.u.): 3.14
Total moment (μB per formula unit): 4.09



*Q*
Material: In3MoP
Method: DFT, PBE
State: relaxed

Cell lengths 5.3233, 5.3233, 5.3233 Å; angles 90.00, 90.00, 90.00 degrees
Last column: nearest neighbours and their distance in Å.
Sites, in units of the cell vectors:
In 0.0000 0.0000 0.5000  2 Mo 2.66
In 0.0000 0.5000 0.0000  2 Mo 2.66
In 0.5000 0.0000 0.0000  2 Mo 2.66
Mo 0.0000 0.0000 0.0000  6 In 2.66
P 0.5000 0.5000 0.5000  12 In 3.76

Results
DOS at the Fermi energy (states/eV/f.u.): 3.04
Total moment (μB per formula unit): 3.29



*Q* has the most favorable energy; the next structure is 48 meV/atom above.